1.
A relaxed structure of MgRe2Pb, computed with PBE.

Unit cell a=3.4769 b=3.4769 c=6.0873 alpha=90.00 beta=90.00 gamma=90.00
Atoms (fractional coordinates):
Re1 0.0000 0.0000 0.4483
Re2 0.0000 0.0000 0.0517
Mg1 0.5000 0.5000 0.2500
Pb1 0.5000 0.5000 0.7500

As for the total energy: -26.64 eV/cell. The formation energy comes out at 0.890 eV/atom. Its crystal system is tetragonal. As for the relative energy among the computed polymorphs: 0.657 eV/atom. As for the space group: P4/mmm (123).

2.
A relaxed structure of MgRe2Pb, computed with PBE.

Unit cell a=4.7069 b=2.8892 c=5.4973 alpha=85.96 beta=90.00 gamma=90.00
Atoms (fractional coordinates):
Pb1 0.5000 0.7500 0.7500
Re1 0.0000 0.6000 0.4595
Re2 0.0000 0.9000 0.0405
Mg1 0.5000 0.2500 0.2500

As for the total energy: -27.33 eV/cell. The formation energy comes out at 0.718 eV/atom. Its crystal system is monoclinic. As for the relative energy among the computed polymorphs: 0.485 eV/atom. As for the space group: P2/m (10).

3.
A relaxed structure of MgRe2Pb, computed with PBE.

Unit cell a=2.9257 b=2.9257 c=9.9419 alpha=90.00 beta=90.00 gamma=114.73
Atoms (fractional coordinates):
Pb1 0.5000 0.5000 0.7664
Re1 0.5000 0.5000 0.2349
Re2 0.0000 0.0000 0.0338
Mg1 0.0000 0.0000 0.4649

As for the total energy: -27.72 eV/cell. The formation energy comes out at 0.621 eV/atom. Its crystal system is orthorhombic. As for the relative energy among the computed polymorphs: 0.387 eV/atom. As for the space group: Cmm2 (35).

4.
A relaxed structure of MgRe2Pb, computed with PBE.

Unit cell a=4.3772 b=4.3772 c=7.2369 alpha=75.47 beta=75.47 gamma=41.90
Atoms (fractional coordinates):
Re1 0.2544 0.2544 0.1917
Re2 0.9946 0.9946 0.0775
Mg1 0.4877 0.4877 0.4338
Pb1 0.7632 0.7632 0.7970

As for the total energy: -27.90 eV/cell. The formation energy comes out at 0.575 eV/atom. Its crystal system is monoclinic. As for the relative energy among the computed polymorphs: 0.341 eV/atom. As for the space group: Cm (8).

5.
A relaxed structure of MgRe2Pb, computed with PBE.

Unit cell a=4.6245 b=4.6245 c=4.6245 alpha=60.00 beta=60.00 gamma=60.00
Atoms (fractional coordinates):
Mg1 0.5000 0.5000 0.5000
Re1 0.0000 0.0000 0.0000
Re2 0.2500 0.2500 0.2500
Pb1 0.7500 0.7500 0.7500

As for the total energy: -27.15 eV/cell. The formation energy comes out at 0.762 eV/atom. Its crystal system is cubic. As for the relative energy among the computed polymorphs: 0.528 eV/atom. As for the space group: F-43m (216).

6.
A relaxed structure of MgRe2Pb, computed with PBE.

Unit cell a=5.0577 b=5.0577 c=5.0606 alpha=84.11 beta=84.11 gamma=38.18
Atoms (fractional coordinates):
Mg1 0.2500 0.2500 0.2500
Re1 0.5067 0.5067 0.4214
Re2 0.9933 0.9933 0.0786
Pb1 0.7500 0.7500 0.7500

As for the total energy: -27.66 eV/cell. The formation energy comes out at 0.636 eV/atom. Its crystal system is monoclinic. As for the relative energy among the computed polymorphs: 0.402 eV/atom. As for the space group: C2/m (12).

7.
A relaxed structure of Mg4RePb, computed with PBE.

Unit cell a=5.5297 b=5.5297 c=5.5297 alpha=60.00 beta=60.00 gamma=60.00
Atoms (fractional coordinates):
Pb1 0.7500 0.7500 0.7500
Mg1 0.3736 0.8791 0.3736
Mg2 0.3736 0.3736 0.3736
Mg3 0.3736 0.3736 0.8791
Mg4 0.8791 0.3736 0.3736
Re1 0.0000 0.0000 0.0000

As for the total energy: -19.12 eV/cell. The formation energy comes out at 0.569 eV/atom. Its crystal system is cubic. As for the space group: F-43m (216).

8.
A relaxed structure of MgRe2Pb, computed with PBE.

Unit cell a=7.6881 b=7.6881 c=6.0660 alpha=50.68 beta=50.68 gamma=90.00
Atoms (fractional coordinates):
Re1 0.8750 0.8804 0.7500
Re2 0.6304 0.1250 0.2500
Re3 0.1196 0.6250 0.2500
Re4 0.3750 0.3696 0.7500
Mg1 0.2500 0.7500 0.5000
Mg2 0.5000 0.5000 0.0000
Pb1 0.0000 0.0000 0.0000
Pb2 0.7500 0.2500 0.5000

As for the total energy: -48.97 eV/cell. The formation energy comes out at 1.429 eV/atom. Its crystal system is tetragonal. As for the relative energy among the computed polymorphs: 1.195 eV/atom. As for the space group: I-42d (122).

> formation energy of number 7 (Mg4RePb)?

0.569 eV/atom

> formation energy of number 1 (MgRe2Pb)?

0.890 eV/atom

> Which value of formation energy does entry 7 give?

0.569 eV/atom